No. 1
# MnCd2As, relaxed, DFT PBE-GGA
data_MnCd2As
_chemical_formula_sum 'Mn1 Cd2 As1'
_cell_length_a 3.0195
_cell_length_b 3.0195
_cell_length_c 8.5907
_cell_angle_alpha 90.00
_cell_angle_beta 90.00
_cell_angle_gamma 90.00
_symmetry_space_group_name_H-M 'P 4/m m m'
_symmetry_Int_Tables_number 123
_symmetry_space_group_name_Hall '-P 4 2'
loop_
_atom_site_label
_atom_site_fract_x
_atom_site_fract_y
_atom_site_fract_z
Mn1 0.0000 0.0000 0.0000
Cd1 0.5000 0.5000 0.2293
As1 0.0000 0.0000 0.5000
# theoretical density = 7.52 g cm⁻³
# spin magnetization = 3.69 μB per formula unit
# ΔH_f (0 K) = 1.01 eV/f.u.
# total energy = -3.659 eV/atom

---

No. 2
# La4PdRh3, relaxed, DFT PBE-GGA
data_La4PdRh3
_chemical_formula_sum 'La4 Pd1 Rh3'
_cell_length_a 4.0111
_cell_length_b 4.3292
_cell_length_c 11.1964
_cell_angle_alpha 90.00
_cell_angle_beta 90.00
_cell_angle_gamma 90.00
_symmetry_space_group_name_H-M 'P m m 2'
_symmetry_Int_Tables_number 25
loop_
_symmetry_equiv_pos_as_xyz
'x,y,z'
'-x,-y,z'
'-x,y,z'
'x,-y,z'
loop_
_atom_site_label
_atom_site_fract_x
_atom_site_fract_y
_atom_site_fract_z
La1 0.0000 0.0000 0.0000
La2 0.0000 0.5000 0.2682
La3 0.5000 0.0000 0.4876
La4 0.5000 0.5000 0.7700
Pd1 0.0000 0.0000 0.7142
Rh1 0.0000 0.5000 0.5388
Rh2 0.5000 0.0000 0.2213
Rh3 0.5000 0.5000 0.0333
# theoretical density = 8.29 g cm⁻³
# spin magnetization = 0.00 μB per formula unit
# ΔH_f (0 K) = -6.25 eV/f.u.
# total energy = -6.651 eV/atom

---

No. 3
# Sm2BeC, relaxed, DFT PBE-GGA
data_Sm2BeC
_chemical_formula_sum 'Sm6 Be3 C3'
_cell_length_a 3.5846
_cell_length_b 3.5846
_cell_length_c 26.6435
_cell_angle_alpha 90.00
_cell_angle_beta 90.00
_cell_angle_gamma 120.00
_symmetry_space_group_name_H-M 'R -3 m'
_symmetry_Int_Tables_number 166
_symmetry_space_group_name_Hall '-R 3 2"'
loop_
_atom_site_label
_atom_site_fract_x
_atom_site_fract_y
_atom_site_fract_z
Sm1 0.0000 0.0000 0.1147
Be1 0.0000 0.0000 0.0000
C1 0.0000 0.0000 0.5000
# theoretical density = 5.41 g cm⁻³
# spin magnetization = 0.00 μB per formula unit
# E above lowest polymorph = 0.670 eV/atom
# ΔH_f (0 K) = 2.10 eV/f.u.
# total energy = -5.072 eV/atom

---

No. 4
# Li2CrPt2, relaxed, DFT PBE-GGA
data_Li2CrPt2
_chemical_formula_sum 'Li4 Cr2 Pt4'
_cell_length_a 6.9341
_cell_length_b 6.9341
_cell_length_c 2.8202
_cell_angle_alpha 90.00
_cell_angle_beta 90.00
_cell_angle_gamma 90.00
_symmetry_space_group_name_H-M 'P 4/m b m'
_symmetry_Int_Tables_number 127
_symmetry_space_group_name_Hall '-P 4 2ab'
loop_
_atom_site_label
_atom_site_fract_x
_atom_site_fract_y
_atom_site_fract_z
Li1 0.1106 0.3894 0.0000
Cr1 0.0000 0.0000 0.0000
Pt1 0.1899 0.6899 0.5000
# theoretical density = 11.17 g cm⁻³
# spin magnetization = 3.65 μB per formula unit
# ΔH_f (0 K) = -1.36 eV/f.u.
# total energy = -5.379 eV/atom

---

No. 5
# Ac2La2Nd7, relaxed, DFT PBE-GGA
data_Ac2La2Nd7
_chemical_formula_sum 'Ac4 La4 Nd14'
_cell_length_a 11.7389
_cell_length_b 12.1325
_cell_length_c 6.3199
_cell_angle_alpha 90.00
_cell_angle_beta 112.09
_cell_angle_gamma 90.00
_symmetry_space_group_name_H-M 'C 1 2/m 1'
_symmetry_Int_Tables_number 12
loop_
_symmetry_equiv_pos_as_xyz
'x,y,z'
'-x,-y,-z'
'-x,y,-z'
'x,-y,z'
'x+1/2,y+1/2,z'
'-x+1/2,-y+1/2,-z'
'-x+1/2,y+1/2,-z'
'x+1/2,-y+1/2,z'
loop_
_atom_site_label
_atom_site_fract_x
_atom_site_fract_y
_atom_site_fract_z
Ac1 0.2316 0.0000 0.0888
La1 0.0000 0.2266 0.0000
Nd1 0.0000 0.0000 0.5000
Nd2 0.0854 0.5000 0.3063
Nd3 0.1713 0.2331 0.6583
# theoretical density = 6.93 g cm⁻³
# spin magnetization = 0.00 μB per formula unit
# E above lowest polymorph = 0.000 eV/atom
# ΔH_f (0 K) = 1.57 eV/f.u.
# total energy = -4.534 eV/atom

---

No. 6
# LiNpBi2, relaxed, DFT PBE-GGA
data_LiNpBi2
_chemical_formula_sum 'Li4 Np4 Bi8'
_cell_length_a 7.5972
_cell_length_b 7.5972
_cell_length_c 7.5972
_cell_angle_alpha 90.00
_cell_angle_beta 90.00
_cell_angle_gamma 90.00
_symmetry_space_group_name_H-M 'F m -3 m'
_symmetry_Int_Tables_number 225
_symmetry_space_group_name_Hall '-F 4 2 3'
loop_
_atom_site_label
_atom_site_fract_x
_atom_site_fract_y
_atom_site_fract_z
Li1 0.0000 0.0000 0.0000
Np1 0.0000 0.0000 0.5000
Bi1 0.2500 0.2500 0.2500
# theoretical density = 10.03 g cm⁻³
# spin magnetization = 4.24 μB per formula unit
# E above lowest polymorph = 0.139 eV/atom
# ΔH_f (0 K) = -0.07 eV/f.u.
# total energy = -5.671 eV/atom

---

No. 7
# Be2FeAg, relaxed, DFT PBE-GGA
data_Be2FeAg
_chemical_formula_sum 'Be6 Fe3 Ag3'
_cell_length_a 2.6478
_cell_length_b 2.6478
_cell_length_c 23.1925
_cell_angle_alpha 90.00
_cell_angle_beta 90.00
_cell_angle_gamma 120.00
_symmetry_space_group_name_H-M 'R -3 m'
_symmetry_Int_Tables_number 166
_symmetry_space_group_name_Hall '-R 3 2"'
loop_
_atom_site_label
_atom_site_fract_x
_atom_site_fract_y
_atom_site_fract_z
Be1 0.0000 0.0000 0.2424
Fe1 0.0000 0.0000 0.5000
Ag1 0.0000 0.0000 0.0000
# theoretical density = 6.43 g cm⁻³
# spin magnetization = 1.66 μB per formula unit
# E above lowest polymorph = 0.236 eV/atom
# ΔH_f (0 K) = 0.95 eV/f.u.
# total energy = -4.455 eV/atom

---

No. 8
# U2MnPb, relaxed, DFT PBE-GGA
data_U2MnPb
_chemical_formula_sum 'U6 Mn3 Pb3'
_cell_length_a 3.0753
_cell_length_b 3.0753
_cell_length_c 30.0110
_cell_angle_alpha 90.00
_cell_angle_beta 90.00
_cell_angle_gamma 120.00
_symmetry_space_group_name_H-M 'R -3 m'
_symmetry_Int_Tables_number 166
_symmetry_space_group_name_Hall '-R 3 2"'
loop_
_atom_site_label
_atom_site_fract_x
_atom_site_fract_y
_atom_site_fract_z
U1 0.0000 0.0000 0.2356
Mn1 0.0000 0.0000 0.5000
Pb1 0.0000 0.0000 0.0000
# theoretical density = 14.96 g cm⁻³
# spin magnetization = 0.02 μB per formula unit
# ΔH_f (0 K) = 1.49 eV/f.u.
# total energy = -8.491 eV/atom